1.
6
Lattice="4.360 0.000 0.000 2.180 3.776 0.000 2.180 1.259 10.481" Properties=species:S:1:pos:R:3 comment="HfUBr, relaxed, DFT PBE" final_energy_ev_per_atom=-7.6539 space_group="R-3m, No. 166" e_form_raw_mev_per_atom=-16 magmom_total_mub_per_cell=0.48 pbc="T T T"
Hf 4.360 2.517 3.331
Hf 4.360 2.517 7.150
Br 2.180 1.259 1.738
Br 6.540 3.776 8.743
U 6.540 3.776 5.420
U 2.180 1.259 5.061

=====

2.
6
Lattice="4.213 0.000 0.332 0.000 4.226 0.000 -0.565 0.000 7.125" Properties=species:S:1:pos:R:3 comment="DyZnAu, relaxed, DFT PBE" final_energy_ev_per_atom=-3.6951 space_group="P4/nmm, No. 129" magmom_total_mub_per_cell=0.00 formation_enthalpy_0k_kj_per_mol_fu=-186.4 pbc="T T T"
Zn 0.770 1.057 3.646
Zn 2.878 3.170 3.812
Au 3.017 1.057 2.037
Au 0.631 3.170 5.421
Dy 2.689 1.057 6.192
Dy 0.959 3.170 1.266